Crystalline AcGePb at its relaxed geometry. Source: Alexandria via LeMat-Bulk, functional PBE-GGA.

Lattice parameters (Å, degrees): 4.5713 4.8676 4.8676 120.00 90.00 90.00
Positions (direct):
Pb 0.5703 0.3333 0.6667
Ge 0.4107 0.6667 0.3333
Ac 0.0189 0.0000 0.0000

Values from the calculation:
- raw total energy (eV per atom) = -4.543
- SG = P3m1, No. 156
- total magnetic moment (μB per cell) = 0.0
- theoretical density (g/cm³) = 8.973
- energy relative to the elements (meV/atom) = -398

Crystalline Mg4IO8 at its relaxed geometry. Source: Alexandria via LeMat-Bulk, functional PBE-GGA.

Lattice parameters (Å, degrees): 5.9875 5.9875 5.9875 62.66 62.66 62.66
Last column: magnetic moment on the atom in μB.
Positions (direct):
O 0.2866 0.7333 0.7333  0.04
O 0.7134 0.2667 0.2667  0.04
O 0.2667 0.2667 0.7134  0.04
O 0.2667 0.7134 0.2667  0.04
O 0.7333 0.2866 0.7333  0.04
O 0.2687 0.2687 0.2687  0.57
O 0.7313 0.7313 0.7313  0.57
O 0.7333 0.7333 0.2866  0.04
Mg 0.0000 0.5000 0.5000  0.00
Mg 0.0000 0.0000 0.0000  0.00
Mg 0.5000 0.5000 0.0000  0.00
Mg 0.5000 0.0000 0.5000  0.00
I 0.5000 0.5000 0.5000  0.00

Values from the calculation:
- raw total energy (eV per atom) = -5.050
- SG = R-3m, No. 166
- total magnetic moment (μB per cell) = 1.7
- theoretical density (g/cm³) = 3.637
- energy relative to the elements, uncorrected (eV/atom) = -1.389

Crystalline GaTeSe2 at its relaxed geometry. Source: Alexandria via LeMat-Bulk, functional PBE-GGA.

Lattice parameters (Å, degrees): 3.9163 6.2225 10.5102 76.36 89.82 83.32
Positions (direct):
Te 0.2498 0.9584 0.7725
Te 0.4678 0.3626 0.3666
Se 0.8740 0.6410 0.8872
Se 0.3470 0.3199 0.9485
Se 0.3158 0.7550 0.5714
Se 0.8914 0.8881 0.2221
Ga 0.3395 0.1563 0.1830
Ga 0.7948 0.9627 0.4431

Values from the calculation:
- raw total energy (eV per atom) = -3.515
- SG = P1, No. 1
- total magnetic moment (μB per cell) = 0.0
- theoretical density (g/cm³) = 4.774
- energy relative to the elements, uncorrected (eV/atom) = -0.230

Crystalline LaTl2IrPb at its relaxed geometry. Source: Alexandria via LeMat-Bulk, functional PBE-GGA.

Lattice parameters (Å, degrees): 5.3198 5.3198 5.4149 90.00 90.00 90.00
Positions (direct):
Pb 0.5000 0.5000 0.5000
Tl 0.5000 0.0000 0.0000
Tl 0.0000 0.5000 0.0000
La 0.0000 0.0000 0.5000
Ir 0.0000 0.0000 0.0000

Values from the calculation:
- raw total energy (eV per atom) = -4.639
- SG = P4/mmm, No. 123
- total magnetic moment (μB per cell) = 0.0
- theoretical density (g/cm³) = 10.263
- energy relative to the elements (meV/atom) = -194

Crystalline ZrInNi2 at its relaxed geometry. Source: Alexandria via LeMat-Bulk, functional PBE-GGA.

Lattice parameters (Å, degrees): 5.0478 5.0478 5.0478 136.35 131.69 67.13
Positions (direct):
Ni 0.9973 0.9973 0.0000
Ni 0.7516 0.2516 0.5000
In 0.2457 0.7457 0.5000
Zr 0.5055 0.5055 0.0000

Values from the calculation:
- raw total energy (eV per atom) = -5.875
- SG = Imm2, No. 44
- total magnetic moment (μB per cell) = 0.0
- theoretical density (g/cm³) = 8.235
- energy relative to the elements (meV/atom) = -162